# 1
This record from Alexandria via LeMat-Bulk describes a relaxed structure of Sr2YGe3Pd4. The functional is PBE-GGA.

Cell lengths 4.4138, 4.4138, 11.1111 Å; angles 90.00, 90.00, 90.00 degrees
With the nearest neighbours (Å) after each atom.
Sites, in units of the cell vectors:
Sr (0.0000, 0.5000, 0.2283)  8 Pd 3.36-3.37, 6 Ge 3.36-3.74, 2 Y 3.74
Sr (0.5000, 0.0000, 0.7717)  8 Pd 3.36-3.37, 6 Ge 3.36-3.74, 2 Y 3.74
Y (0.0000, 0.0000, 0.5000)  4 Pd 2.82, 4 Ge 3.12
Ge (0.0000, 0.5000, 0.8844)  5 Pd 2.51-2.55
Ge (0.5000, 0.0000, 0.1156)  5 Pd 2.51-2.55
Ge (0.5000, 0.5000, 0.5000)  4 Pd 2.82, 4 Y 3.12
Pd (0.0000, 0.0000, 0.0000)  4 Ge 2.55
Pd (0.0000, 0.5000, 0.6582)  1 Ge 2.51
Pd (0.5000, 0.0000, 0.3418)  1 Ge 2.51
Pd (0.5000, 0.5000, 0.0000)  4 Ge 2.55

Space group = P-4m2
Calculated formation energy = -0.753 eV per atom
V = 21.646 A^3/atom
Density = 6.96 g/cm³


# 2
This record from Alexandria via LeMat-Bulk describes a relaxed structure of VPdS2N. The functional is PBE-GGA.

Cell lengths 4.8324, 4.8324, 3.6799 Å; angles 90.00, 90.00, 90.00 degrees
With the nearest neighbours (Å) after each atom.
Sites, in units of the cell vectors:
V (0.0000, 0.0000, 0.0000)  8 S 3.04
Pd (0.5000, 0.5000, 0.5000)  2 N 1.84
S (0.0000, 0.5000, 0.5000)  2 Pd 2.42
S (0.5000, 0.0000, 0.5000)  2 Pd 2.42
N (0.5000, 0.5000, 0.0000)  2 Pd 1.84

Space group = P4/mmm
Energy relative to the elements, uncorrected = 1.01 eV per atom
E above lowest polymorph = 0.807 eV/atom
V = 17.187 A^3/atom
Density = 4.55 g/cm³


no.,magnetization (μB/f.u.)
1,0.00
2,0.12